A.
! HfFeBMo, optimized geometry, DFT PBE; values from VASP
&SYSTEM
  ibrav = 0, nat = 4, ntyp = 4
/
ATOMIC_SPECIES
Hf 178.49 Hf.upf
Fe 55.84 Fe.upf
B 10.81 B.upf
Mo 95.94 Mo.upf
ATOMIC_POSITIONS crystal
Hf 0.000 0.000 0.000
Fe 0.750 0.750 0.750
B 0.500 0.500 0.500
Mo 0.250 0.250 0.250
CELL_PARAMETERS angstrom
0.000 2.991 2.991
2.991 0.000 2.991
2.991 2.991 0.000
! total magnetic moment = 2.53 μB per cell



B.
! HfFeBMo, optimized geometry, DFT PBE; values from VASP
&SYSTEM
  ibrav = 0, nat = 4, ntyp = 4
/
ATOMIC_SPECIES
Hf 178.49 Hf.upf
Fe 55.84 Fe.upf
B 10.81 B.upf
Mo 95.94 Mo.upf
ATOMIC_POSITIONS crystal
Hf 0.000 0.000 0.000
Fe 0.500 0.500 0.500
B 0.250 0.250 0.250
Mo 0.750 0.750 0.750
CELL_PARAMETERS angstrom
0.000 3.019 3.019
3.019 0.000 3.019
3.019 3.019 0.000
! total magnetic moment = 2.24 μB per cell



Winner for stability: A



A.
! HfFeBPt, optimized geometry, DFT PBE; values from VASP
&SYSTEM
  ibrav = 0, nat = 4, ntyp = 4
/
ATOMIC_SPECIES
Hf 178.49 Hf.upf
Fe 55.84 Fe.upf
B 10.81 B.upf
Pt 195.08 Pt.upf
ATOMIC_POSITIONS crystal
Hf 0.000 0.000 0.000
Fe 0.500 0.500 0.500
B 0.250 0.250 0.250
Pt 0.750 0.750 0.750
CELL_PARAMETERS angstrom
0.000 3.061 3.061
3.061 0.000 3.061
3.061 3.061 0.000
! total magnetic moment = 2.89 μB per cell



B.
! HfFeBPt, optimized geometry, DFT PBE; values from VASP
&SYSTEM
  ibrav = 0, nat = 4, ntyp = 4
/
ATOMIC_SPECIES
Hf 178.49 Hf.upf
Fe 55.84 Fe.upf
B 10.81 B.upf
Pt 195.08 Pt.upf
ATOMIC_POSITIONS crystal
Hf 0.000 0.000 0.000
Fe 0.750 0.750 0.750
B 0.500 0.500 0.500
Pt 0.250 0.250 0.250
CELL_PARAMETERS angstrom
0.000 3.002 3.002
3.002 0.000 3.002
3.002 3.002 0.000
! total magnetic moment = 1.02 μB per cell



Winner for stability: B



A.
! HfFeReB, optimized geometry, DFT PBE; values from VASP
&SYSTEM
  ibrav = 0, nat = 4, ntyp = 4
/
ATOMIC_SPECIES
Hf 178.49 Hf.upf
Fe 55.84 Fe.upf
Re 186.21 Re.upf
B 10.81 B.upf
ATOMIC_POSITIONS crystal
Hf 0.000 0.000 0.000
Fe 0.750 0.750 0.750
Re 0.250 0.250 0.250
B 0.500 0.500 0.500
CELL_PARAMETERS angstrom
0.000 2.980 2.980
2.980 0.000 2.980
2.980 2.980 0.000
! total magnetic moment = 1.77 μB per cell



B.
! HfFeReB, optimized geometry, DFT PBE; values from VASP
&SYSTEM
  ibrav = 0, nat = 4, ntyp = 4
/
ATOMIC_SPECIES
Hf 178.49 Hf.upf
Fe 55.84 Fe.upf
Re 186.21 Re.upf
B 10.81 B.upf
ATOMIC_POSITIONS crystal
Hf 0.000 0.000 0.000
Fe 0.500 0.500 0.500
Re 0.750 0.750 0.750
B 0.250 0.250 0.250
CELL_PARAMETERS angstrom
0.000 3.035 3.035
3.035 0.000 3.035
3.035 3.035 0.000
! total magnetic moment = 3.17 μB per cell



Winner for stability: A



A.
! FeHgB4, optimized geometry, DFT PBE; values from VASP
&SYSTEM
  ibrav = 0, nat = 6, ntyp = 3
/
ATOMIC_SPECIES
Fe 55.84 Fe.upf
Hg 200.59 Hg.upf
B 10.81 B.upf
ATOMIC_POSITIONS crystal
Fe 0.000 0.000 0.000
Hg 0.500 0.500 0.000
B 0.068 0.733 0.334
B 0.399 0.733 0.666
B 0.601 0.267 0.334
B 0.932 0.267 0.666
CELL_PARAMETERS angstrom
-1.511 2.586 3.757
1.511 -2.586 3.757
1.511 2.586 -3.757
! total magnetic moment = 3.01 μB per cell



B.
! FeHgB4, optimized geometry, DFT PBE; values from VASP
&SYSTEM
  ibrav = 0, nat = 6, ntyp = 3
/
ATOMIC_SPECIES
Fe 55.84 Fe.upf
Hg 200.59 Hg.upf
B 10.81 B.upf
ATOMIC_POSITIONS crystal
Fe 0.000 0.000 0.000
Hg 0.000 0.000 0.500
B 0.333 0.667 0.162
B 0.333 0.667 0.838
B 0.667 0.333 0.162
B 0.667 0.333 0.838
CELL_PARAMETERS angstrom
2.943 0.000 0.000
-1.472 2.549 0.000
0.000 0.000 9.231
! total magnetic moment = 2.09 μB per cell



Winner for stability: B



A.
! LuFeHgB, optimized geometry, DFT PBE; values from VASP
&SYSTEM
  ibrav = 0, nat = 4, ntyp = 4
/
ATOMIC_SPECIES
Lu 174.97 Lu.upf
Fe 55.84 Fe.upf
Hg 200.59 Hg.upf
B 10.81 B.upf
ATOMIC_POSITIONS crystal
Lu 0.000 0.000 0.000
Fe 0.750 0.750 0.750
Hg 0.250 0.250 0.250
B 0.500 0.500 0.500
CELL_PARAMETERS angstrom
0.000 3.199 3.199
3.199 0.000 3.199
3.199 3.199 0.000
! total magnetic moment = 2.15 μB per cell



B.
! LuFeHgB, optimized geometry, DFT PBE; values from VASP
&SYSTEM
  ibrav = 0, nat = 4, ntyp = 4
/
ATOMIC_SPECIES
Lu 174.97 Lu.upf
Fe 55.84 Fe.upf
Hg 200.59 Hg.upf
B 10.81 B.upf
ATOMIC_POSITIONS crystal
Lu 0.000 0.000 0.000
Fe 0.500 0.500 0.500
Hg 0.750 0.750 0.750
B 0.250 0.250 0.250
CELL_PARAMETERS angstrom
0.000 3.201 3.201
3.201 0.000 3.201
3.201 3.201 0.000
! total magnetic moment = 2.51 μB per cell



Winner for stability: B



A.
! TaFeHgB, optimized geometry, DFT PBE; values from VASP
&SYSTEM
  ibrav = 0, nat = 4, ntyp = 4
/
ATOMIC_SPECIES
Ta 180.95 Ta.upf
Fe 55.84 Fe.upf
Hg 200.59 Hg.upf
B 10.81 B.upf
ATOMIC_POSITIONS crystal
Ta 0.000 0.000 0.000
Fe 0.750 0.750 0.750
Hg 0.250 0.250 0.250
B 0.500 0.500 0.500
CELL_PARAMETERS angstrom
0.000 3.080 3.080
3.080 0.000 3.080
3.080 3.080 0.000
! total magnetic moment = 1.05 μB per cell



B.
! TaFeHgB, optimized geometry, DFT PBE; values from VASP
&SYSTEM
  ibrav = 0, nat = 4, ntyp = 4
/
ATOMIC_SPECIES
Ta 180.95 Ta.upf
Fe 55.84 Fe.upf
Hg 200.59 Hg.upf
B 10.81 B.upf
ATOMIC_POSITIONS crystal
Ta 0.000 0.000 0.000
Fe 0.500 0.500 0.500
Hg 0.750 0.750 0.750
B 0.250 0.250 0.250
CELL_PARAMETERS angstrom
0.000 3.067 3.067
3.067 0.000 3.067
3.067 3.067 0.000
! total magnetic moment = 1.77 μB per cell



Winner for stability: B



A.
! FeTcHgB, optimized geometry, DFT PBE; values from VASP
&SYSTEM
  ibrav = 0, nat = 4, ntyp = 4
/
ATOMIC_SPECIES
Fe 55.84 Fe.upf
Tc 98.00 Tc.upf
Hg 200.59 Hg.upf
B 10.81 B.upf
ATOMIC_POSITIONS crystal
Fe 0.000 0.000 0.000
Tc 0.250 0.250 0.250
Hg 0.500 0.500 0.500
B 0.750 0.750 0.750
CELL_PARAMETERS angstrom
0.000 3.026 3.026
3.026 0.000 3.026
3.026 3.026 0.000
! total magnetic moment = 2.25 μB per cell



B.
! FeTcHgB, optimized geometry, DFT PBE; values from VASP
&SYSTEM
  ibrav = 0, nat = 4, ntyp = 4
/
ATOMIC_SPECIES
Fe 55.84 Fe.upf
Tc 98.00 Tc.upf
Hg 200.59 Hg.upf
B 10.81 B.upf
ATOMIC_POSITIONS crystal
Fe 0.000 0.000 0.000
Tc 0.500 0.500 0.500
Hg 0.250 0.250 0.250
B 0.750 0.750 0.750
CELL_PARAMETERS angstrom
0.000 2.978 2.978
2.978 0.000 2.978
2.978 2.978 0.000
! total magnetic moment = 2.60 μB per cell



Winner for stability: B



A.
! FeHgBW, optimized geometry, DFT PBE; values from VASP
&SYSTEM
  ibrav = 0, nat = 4, ntyp = 4
/
ATOMIC_SPECIES
Fe 55.84 Fe.upf
Hg 200.59 Hg.upf
B 10.81 B.upf
W 183.84 W.upf
ATOMIC_POSITIONS crystal
Fe 0.000 0.000 0.000
Hg 0.500 0.500 0.500
B 0.750 0.750 0.750
W 0.250 0.250 0.250
CELL_PARAMETERS angstrom
0.000 3.036 3.036
3.036 0.000 3.036
3.036 3.036 0.000
! total magnetic moment = 0.78 μB per cell



B.
! FeHgBW, optimized geometry, DFT PBE; values from VASP
&SYSTEM
  ibrav = 0, nat = 4, ntyp = 4
/
ATOMIC_SPECIES
Fe 55.84 Fe.upf
Hg 200.59 Hg.upf
B 10.81 B.upf
W 183.84 W.upf
ATOMIC_POSITIONS crystal
Fe 0.000 0.000 0.000
Hg 0.250 0.250 0.250
B 0.750 0.750 0.750
W 0.500 0.500 0.500
CELL_PARAMETERS angstrom
0.000 3.029 3.029
3.029 0.000 3.029
3.029 3.029 0.000
! total magnetic moment = 1.74 μB per cell



Winner for stability: B



A.
! ZnFeHgB, optimized geometry, DFT PBE; values from VASP
&SYSTEM
  ibrav = 0, nat = 4, ntyp = 4
/
ATOMIC_SPECIES
Zn 65.41 Zn.upf
Fe 55.84 Fe.upf
Hg 200.59 Hg.upf
B 10.81 B.upf
ATOMIC_POSITIONS crystal
Zn 0.000 0.000 0.000
Fe 0.750 0.750 0.750
Hg 0.250 0.250 0.250
B 0.500 0.500 0.500
CELL_PARAMETERS angstrom
0.000 3.001 3.001
3.001 0.000 3.001
3.001 3.001 0.000
! total magnetic moment = 2.19 μB per cell



B.
! ZnFeHgB, optimized geometry, DFT PBE; values from VASP
&SYSTEM
  ibrav = 0, nat = 4, ntyp = 4
/
ATOMIC_SPECIES
Zn 65.41 Zn.upf
Fe 55.84 Fe.upf
Hg 200.59 Hg.upf
B 10.81 B.upf
ATOMIC_POSITIONS crystal
Zn 0.000 0.000 0.000
Fe 0.500 0.500 0.500
Hg 0.750 0.750 0.750
B 0.250 0.250 0.250
CELL_PARAMETERS angstrom
0.000 3.033 3.033
3.033 0.000 3.033
3.033 3.033 0.000
! total magnetic moment = 2.26 μB per cell



Winner for stability: A



A.
! ZrFeHgB, optimized geometry, DFT PBE; values from VASP
&SYSTEM
  ibrav = 0, nat = 4, ntyp = 4
/
ATOMIC_SPECIES
Zr 91.22 Zr.upf
Fe 55.84 Fe.upf
Hg 200.59 Hg.upf
B 10.81 B.upf
ATOMIC_POSITIONS crystal
Zr 0.000 0.000 0.000
Fe 0.750 0.750 0.750
Hg 0.250 0.250 0.250
B 0.500 0.500 0.500
CELL_PARAMETERS angstrom
0.000 3.156 3.156
3.156 0.000 3.156
3.156 3.156 0.000
! total magnetic moment = 1.68 μB per cell



B.
! ZrFeHgB, optimized geometry, DFT PBE; values from VASP
&SYSTEM
  ibrav = 0, nat = 4, ntyp = 4
/
ATOMIC_SPECIES
Zr 91.22 Zr.upf
Fe 55.84 Fe.upf
Hg 200.59 Hg.upf
B 10.81 B.upf
ATOMIC_POSITIONS crystal
Zr 0.000 0.000 0.000
Fe 0.500 0.500 0.500
Hg 0.750 0.750 0.750
B 0.250 0.250 0.250
CELL_PARAMETERS angstrom
0.000 3.151 3.151
3.151 0.000 3.151
3.151 3.151 0.000
! total magnetic moment = 2.18 μB per cell



Winner for stability: B



A.
! HoFeB4, optimized geometry, DFT PBE; values from VASP
&SYSTEM
  ibrav = 0, nat = 6, ntyp = 3
/
ATOMIC_SPECIES
Ho 164.93 Ho.upf
Fe 55.84 Fe.upf
B 10.81 B.upf
ATOMIC_POSITIONS crystal
Ho 0.000 0.000 0.000
Fe 0.000 0.000 0.500
B 0.333 0.667 0.298
B 0.333 0.667 0.702
B 0.667 0.333 0.298
B 0.667 0.333 0.702
CELL_PARAMETERS angstrom
3.136 0.000 0.000
-1.568 2.716 0.000
0.000 0.000 6.527
! total magnetic moment = 0.87 μB per cell



B.
! HoFeB4, optimized geometry, DFT PBE; values from VASP
&SYSTEM
  ibrav = 0, nat = 6, ntyp = 3
/
ATOMIC_SPECIES
Ho 164.93 Ho.upf
Fe 55.84 Fe.upf
B 10.81 B.upf
ATOMIC_POSITIONS crystal
Ho 0.000 0.000 0.000
Fe 0.500 0.500 0.000
B 0.086 0.752 0.335
B 0.417 0.752 0.665
B 0.583 0.248 0.335
B 0.914 0.248 0.665
CELL_PARAMETERS angstrom
-1.568 2.644 3.505
1.568 -2.644 3.505
1.568 2.644 -3.505
! total magnetic moment = 2.22 μB per cell



Winner for stability: A



A.
! YHoFe8B2, optimized geometry, DFT PBE; values from VASP
&SYSTEM
  ibrav = 0, nat = 12, ntyp = 4
/
ATOMIC_SPECIES
Y 88.91 Y.upf
Ho 164.93 Ho.upf
Fe 55.84 Fe.upf
B 10.81 B.upf
ATOMIC_POSITIONS crystal
Y 0.000 0.000 0.000
Ho 0.000 0.000 0.500
Fe 0.000 0.500 0.286
Fe 0.000 0.500 0.714
Fe 0.333 0.667 0.000
Fe 0.500 0.000 0.286
Fe 0.500 0.000 0.714
Fe 0.500 0.500 0.286
Fe 0.500 0.500 0.714
Fe 0.667 0.333 0.000
B 0.333 0.667 0.500
B 0.667 0.333 0.500
CELL_PARAMETERS angstrom
5.058 0.000 0.000
-2.529 4.380 0.000
0.000 0.000 7.015
! total magnetic moment = 15.11 μB per cell



B.
! YHoFe8B2, optimized geometry, DFT PBE; values from VASP
&SYSTEM
  ibrav = 0, nat = 12, ntyp = 4
/
ATOMIC_SPECIES
Y 88.91 Y.upf
Ho 164.93 Ho.upf
Fe 55.84 Fe.upf
B 10.81 B.upf
ATOMIC_POSITIONS crystal
Y 0.000 0.000 0.000
Ho 0.000 0.000 0.500
Fe 0.000 0.500 0.214
Fe 0.000 0.500 0.786
Fe 0.333 0.667 0.500
Fe 0.500 0.000 0.214
Fe 0.500 0.000 0.786
Fe 0.500 0.500 0.214
Fe 0.500 0.500 0.786
Fe 0.667 0.333 0.500
B 0.333 0.667 0.000
B 0.667 0.333 0.000
CELL_PARAMETERS angstrom
5.060 0.000 0.000
-2.530 4.382 0.000
0.000 0.000 7.018
! total magnetic moment = 15.12 μB per cell



Winner for stability: A